Record 1
La2NdPd2 after structural relaxation, computed with PBE.

Lattice parameters (Å, degrees): 8.161 8.161 4.083 90.00 90.00 90.00
Atoms (fractional coordinates):
La 0.168 0.332 0.000
La 0.332 0.832 0.000
La 0.668 0.168 0.000
La 0.832 0.668 0.000
Nd 0.000 0.000 0.500
Nd 0.500 0.500 0.500
Pd 0.128 0.628 0.500
Pd 0.372 0.128 0.500
Pd 0.628 0.872 0.500
Pd 0.872 0.372 0.500

The value obtained for the density of states at the Fermi level is 0.7985 states/eV per atom. The value obtained for the total DFT energy (no corrections) is -56.6 eV/cell. The total magnetization comes out at 0.000 μB/cell. The theoretical density is 7.753 g cm⁻³.


Record 2
LaNd2Pd after structural relaxation, computed with PBE.

Lattice parameters (Å, degrees): 11.172 11.172 11.172 19.30 19.30 19.30
Atoms (fractional coordinates):
La 0.000 0.000 0.000
Nd 0.108 0.108 0.108
Nd 0.892 0.892 0.892
Pd 0.500 0.500 0.500

The value obtained for the density of states at the Fermi level is 1.5331 states/eV per atom. The value obtained for the total DFT energy (no corrections) is -20.1 eV/cell. The total magnetization comes out at 0.534 μB/cell. The theoretical density is 6.659 g cm⁻³.


Record 3
La3Nd4Pd4 after structural relaxation, computed with PBE.

Lattice parameters (Å, degrees): 9.254 9.254 9.254 149.02 130.47 59.58
Atoms (fractional coordinates):
La 0.000 0.000 0.000
La 0.402 0.902 0.500
La 0.598 0.098 0.500
Nd 0.052 0.329 0.723
Nd 0.393 0.671 0.723
Nd 0.607 0.329 0.277
Nd 0.948 0.671 0.277
Pd 0.200 0.200 0.000
Pd 0.316 0.500 0.816
Pd 0.684 0.500 0.184
Pd 0.800 0.800 0.000

The value obtained for the density of states at the Fermi level is 1.0799 states/eV per atom. The value obtained for the total DFT energy (no corrections) is -60.3 eV/cell. The total magnetization comes out at 0.000 μB/cell. The theoretical density is 7.657 g cm⁻³.


Record 4
La7NdPd2 after structural relaxation, computed with PBE.

Lattice parameters (Å, degrees): 8.861 8.861 5.460 90.00 90.00 116.78
Atoms (fractional coordinates):
La 0.000 0.000 0.000
La 0.189 0.447 0.000
La 0.218 0.782 0.500
La 0.447 0.189 0.000
La 0.553 0.811 0.000
La 0.782 0.218 0.500
La 0.811 0.553 0.000
Nd 0.500 0.500 0.500
Pd 0.195 0.805 0.000
Pd 0.805 0.195 0.000

The value obtained for the density of states at the Fermi level is 1.6634 states/eV per atom. The value obtained for the total DFT energy (no corrections) is -50.4 eV/cell. The total magnetization comes out at 0.003 μB/cell. The theoretical density is 5.769 g cm⁻³.